The following is a DFT calculation (PBE) of Ce5NdO6 after structural relaxation.

For the total energy, the calculation gives -98.423 eV per formula unit. Its density of states at the Fermi level is 11.03 states/eV/f.u. The value obtained for the uncorrected formation energy is -2.85 eV/atom.

a b c (Å): 6.1116 10.5904 6.1131
angles (deg): 90.00 109.46 90.00
With the nearest neighbours (Å) after each atom.
Space group C2/m (No. 12)
One atom of each set of equivalent atoms:
Ce 0.0000 0.0000 0.0000  6 O 2.48-2.50
Ce 0.0000 0.1667 0.5000  6 O 2.49
Ce 0.0000 0.3335 0.0000  6 O 2.49-2.50
Nd 0.0000 0.5000 0.5000  6 O 2.51
O 0.2483 0.0000 0.7506  5 Ce 2.48-2.50, 1 Nd 2.51
O 0.2490 0.1676 0.2495  5 Ce 2.49-2.50, 1 Nd 2.51


The following is a DFT calculation (PBE) of CeNd3O6 after structural relaxation.

For the total energy, the calculation gives -83.288 eV per formula unit. Its density of states at the Fermi level is 1.18 states/eV/f.u. The value obtained for the uncorrected formation energy is -3.33 eV/atom.

a b c (Å): 10.1041 10.1041 11.8850
angles (deg): 90.00 90.00 120.00
With the nearest neighbours (Å) after each atom.
Space group R-3 (No. 148, hexagonal axes)
One atom of each set of equivalent atoms:
Ce 0.0000 0.0000 0.0000  6 O 2.34
Ce 0.0000 0.0000 0.5000  6 O 2.39
Nd 0.0372 0.7726 0.2115  6 O 2.34-2.49
O 0.0282 0.8072 0.4053  3 Nd 2.34-2.49, 1 Ce 2.39
O 0.0282 0.8416 0.8703  1 Ce 2.34, 3 Nd 2.38-2.45


The following is a DFT calculation (PBE) of CeNdO after structural relaxation.

For the total energy, the calculation gives -20.647 eV per formula unit. Its density of states at the Fermi level is 5.28 states/eV/f.u. The value obtained for the uncorrected formation energy is -1.66 eV/atom.

a b c (Å): 3.6837 3.6837 5.9751
angles (deg): 90.00 90.00 120.00
With the nearest neighbours (Å) after each atom.
Space group P3m1 (No. 156)
One atom of each set of equivalent atoms:
Ce 0.0000 0.0000 0.0000  3 O 2.45
Nd 0.3333 0.6667 0.4528  3 O 2.60
O 0.6667 0.3333 0.2021  3 Ce 2.45, 3 Nd 2.60


The following is a DFT calculation (PBE) of Ce8Nd2O19 after structural relaxation.

For the total energy, the calculation gives -250.315 eV per formula unit. Its density of states at the Fermi level is 0.00 states/eV/f.u. The value obtained for the uncorrected formation energy is -3.42 eV/atom.

a b c (Å): 3.8781 3.8781 27.5882
angles (deg): 90.00 90.00 90.00
With the nearest neighbours (Å) after each atom.
Space group P-4m2 (No. 115)
One atom of each set of equivalent atoms:
Ce 0.0000 0.5000 0.0494  8 O 2.36-2.38
Ce 0.0000 0.5000 0.2471  8 O 2.33-2.41
Ce 0.0000 0.5000 0.6540  8 O 2.30-2.46
Ce 0.0000 0.5000 0.8517  8 O 2.35-2.39
Nd 0.0000 0.5000 0.4420  6 O 2.25-2.51
O 0.0000 0.0000 0.0000  4 Ce 2.37
O 0.0000 0.0000 0.0992  4 Ce 2.36-2.38
O 0.0000 0.0000 0.1987  4 Ce 2.35-2.39
O 0.0000 0.0000 0.2990  4 Ce 2.33-2.41
O 0.0000 0.0000 0.4009  2 Nd 2.25, 2 Ce 2.46
O 0.5000 0.5000 0.0000  4 Ce 2.37
O 0.5000 0.5000 0.0983  4 Ce 2.36-2.38
O 0.5000 0.5000 0.1964  4 Ce 2.35-2.39
O 0.5000 0.5000 0.2939  4 Ce 2.33-2.41
O 0.5000 0.5000 0.3908  2 Ce 2.30, 2 Nd 2.40
O 0.5000 0.5000 0.5000  4 Nd 2.51


The following is a DFT calculation (PBE) of CeNdP2O8 after structural relaxation.

For the total energy, the calculation gives -95.121 eV per formula unit. Its density of states at the Fermi level is 2.84 states/eV/f.u. The value obtained for the uncorrected formation energy is -2.83 eV/atom.

a b c (Å): 5.3283 5.3283 7.3755
angles (deg): 90.00 90.00 120.00
With the nearest neighbours (Å) after each atom.
Space group P-3 (No. 147)
One atom of each set of equivalent atoms:
Ce 0.0000 0.0000 0.0000  6 O 2.36
Nd 0.0000 0.0000 0.5000  6 O 2.54
P 0.3333 0.6667 0.3074  4 O 1.53-1.56
O 0.1734 0.3498 0.2341  1 P 1.56
O 0.3333 0.6667 0.5144  1 P 1.53


The following is a DFT calculation (PBE) of CeNdPbO2 after structural relaxation.

For the total energy, the calculation gives -36.643 eV per formula unit. Its density of states at the Fermi level is 5.01 states/eV/f.u. The value obtained for the uncorrected formation energy is -2.46 eV/atom.

a b c (Å): 3.9870 3.9870 13.9701
angles (deg): 90.00 90.00 90.00
With the nearest neighbours (Å) after each atom.
Space group I4mm (No. 107)
One atom of each set of equivalent atoms:
Ce 0.0000 0.0000 0.0000  4 O 2.29
Nd 0.0000 0.0000 0.6715  4 O 2.36
Pb 0.0000 0.0000 0.3361  4 Ce 3.63, 4 Nd 3.64, 4 O 3.96, 4 Pb 3.99
O 0.0000 0.5000 0.0807  2 Ce 2.29, 2 Nd 2.36


The following is a DFT calculation (PBE) of CeNd2PuO8 after structural relaxation.

For the total energy, the calculation gives -106.986 eV per formula unit. Its density of states at the Fermi level is 4.46 states/eV/f.u. The value obtained for the uncorrected formation energy is -3.13 eV/atom.

a b c (Å): 3.9096 5.5456 7.7562
angles (deg): 86.89 89.65 86.04
With the nearest neighbours (Å) after each atom.
Space group P-1 (No. 2)
One atom of each set of equivalent atoms:
Ce 0.0000 0.0000 0.0000  4 O 2.24-2.33
Nd 0.4988 0.4918 0.7513  8 O 2.38-2.54
Pu 0.0000 0.0000 0.5000  4 O 2.03-2.10
O 0.0259 0.2438 0.7473  1 Ce 2.33, 2 Nd 2.38-2.40, 1 Pu 2.41
O 0.0334 0.2199 0.2833  1 Pu 2.03
O 0.4543 0.7775 0.4901  1 Pu 2.10
O 0.4805 0.7587 0.9859  1 Ce 2.24, 2 Nd 2.40


The following is a DFT calculation (PBE) of CeNdPuO6 after structural relaxation.

For the total energy, the calculation gives -82.403 eV per formula unit. Its density of states at the Fermi level is 9.93 states/eV/f.u. The value obtained for the uncorrected formation energy is -3.07 eV/atom.

a b c (Å): 5.9072 5.9072 9.5687
angles (deg): 90.00 90.00 120.00
With the nearest neighbours (Å) after each atom.
Space group P-31c (No. 163)
One atom of each set of equivalent atoms:
Ce 0.3333 0.6667 0.2500  6 O 2.28
Nd 0.0000 0.0000 0.0000  6 O 2.45
Pu 0.3333 0.6667 0.7500  6 O 2.14
O 0.0179 0.3583 0.6368  1 Pu 2.14, 1 Ce 2.28


The following is a DFT calculation (PBE) of Rb4CeNd3O8 after structural relaxation.

For the total energy, the calculation gives -104.600 eV per formula unit. Its density of states at the Fermi level is 3.02 states/eV/f.u. The value obtained for the uncorrected formation energy is -2.55 eV/atom.

a b c (Å): 7.3441 7.3441 19.8214
angles (deg): 90.00 90.00 120.00
With the nearest neighbours (Å) after each atom.
Space group R-3m (No. 166, hexagonal axes)
One atom of each set of equivalent atoms:
Rb 0.0000 0.0000 0.0000  6 O 3.01
Rb 0.0000 0.5000 0.0000  6 O 2.99
Ce 0.0000 0.0000 0.5000  6 O 2.42
Nd 0.0000 0.5000 0.5000  6 O 2.43-2.44
O 0.0000 0.0000 0.2268  3 Nd 2.43
O 0.0022 0.5011 0.2265  1 Ce 2.42, 2 Nd 2.44


The following is a DFT calculation (PBE) of CeNdSO after structural relaxation.

For the total energy, the calculation gives -28.124 eV per formula unit. Its density of states at the Fermi level is 7.37 states/eV/f.u. The value obtained for the uncorrected formation energy is -2.08 eV/atom.

a b c (Å): 4.2724 4.2724 9.2404
angles (deg): 90.00 90.00 90.00
With the nearest neighbours (Å) after each atom.
Space group P4/nmm (No. 129, origin choice 2)
One atom of each set of equivalent atoms:
Ce 0.2500 0.2500 0.1151  4 O 2.39
Nd 0.2500 0.7500 0.5000  4 S 2.95, 4 Nd 3.02
S 0.2500 0.2500 0.7206  4 Nd 2.95
O 0.2500 0.7500 0.0000  4 Ce 2.39


The following is a DFT calculation (PBE) of Ce4Nd2Sb3O2 after structural relaxation.

For the total energy, the calculation gives -73.254 eV per formula unit. Its density of states at the Fermi level is 20.60 states/eV/f.u. The value obtained for the uncorrected formation energy is -1.61 eV/atom.

a b c (Å): 4.7079 4.7079 26.1532
angles (deg): 90.00 90.00 90.00
With the nearest neighbours (Å) after each atom.
Space group I4/mmm (No. 139)
One atom of each set of equivalent atoms:
Ce 0.0000 0.5000 0.0841  2 O 2.39
Nd 0.0000 0.0000 0.1983  1 O 2.57
Sb 0.0000 0.0000 0.3230  5 Nd 3.26-3.38, 4 Ce 3.38
Sb 0.0000 0.0000 0.5000  8 Ce 3.22
O 0.0000 0.0000 0.1001  4 Ce 2.39, 1 Nd 2.57


The following is a DFT calculation (PBE) of CeNdSbO6 after structural relaxation.

For the total energy, the calculation gives -67.474 eV per formula unit. The value obtained for the uncorrected formation energy is -2.54 eV/atom.

a b c (Å): 5.7109 5.7109 9.4371
angles (deg): 90.00 90.00 120.00
With the nearest neighbours (Å) after each atom.
Space group P-31c (No. 163)
One atom of each set of equivalent atoms:
Ce 0.0000 0.0000 0.0000  6 O 2.30
Nd 0.3333 0.6667 0.2500  6 O 2.39
Sb 0.3333 0.6667 0.7500  6 O 2.03
O 0.0483 0.3621 0.6306  1 Sb 2.03


Q: Number 9 is which compound?
A: Rb4CeNd3O8


Q: Which of these has the highest uncorrected formation energy?
A: Ce4Nd2Sb3O2